A plane-wave DFT calculation with PBE was carried out for crystalline LaCoSi2 at its relaxed geometry.

Unit cell a=4.777 b=4.777 c=14.804 alpha=90.00 beta=90.00 gamma=90.00
Space group I4_1/amd (No. 141, origin choice 2)
One atom of each set of equivalent atoms:
La  0.000  0.250  0.375
Co  0.000  0.250  0.875
Si  0.000  0.000  0.000

Summary:
E = -24.77 eV per formula unit
ΔE_f (raw) = -0.47 eV per atom
Magnetic moment = 0.0 Bohr magnetons per cell
DOS at the Fermi energy = 4.8 states/eV per cell

A plane-wave DFT calculation with PBE was carried out for crystalline La2CoSi at its relaxed geometry.

Unit cell a=7.175 b=4.135 c=7.716 alpha=90.00 beta=90.61 gamma=90.00
Space group Cm (No. 8)
One atom of each set of equivalent atoms:
La  0.000  0.000  0.000
La  0.172  0.500  0.510
Co  0.004  0.000  0.313
Si  0.336  0.000  0.254

Summary:
E = -23.84 eV per formula unit
ΔE_f (raw) = -0.36 eV per atom
Magnetic moment = 0.0 Bohr magnetons per cell
DOS at the Fermi energy = 9.9 states/eV per cell

A plane-wave DFT calculation with PBE was carried out for crystalline LaCo8Si5 at its relaxed geometry.

Unit cell a=7.785 b=7.785 c=11.522 alpha=90.00 beta=90.00 gamma=90.00
Space group I4/mcm (No. 140)
One atom of each set of equivalent atoms:
La  0.000  0.000  0.250
Co  0.057  0.211  0.000
Co  0.117  0.383  0.179
Si  0.000  0.500  0.000
Si  0.183  0.317  0.376

Summary:
E = -96.08 eV per formula unit
ΔE_f (raw) = -0.51 eV per atom
Magnetic moment = 7.9 Bohr magnetons per cell
DOS at the Fermi energy = 54.6 states/eV per cell

A plane-wave DFT calculation with PBE was carried out for crystalline La2CoSi at its relaxed geometry.

Unit cell a=3.623 b=4.481 c=11.477 alpha=90.00 beta=90.00 gamma=90.00
Space group Imm2 (No. 44)
One atom of each set of equivalent atoms:
La  0.000  0.000  0.000
La  0.000  0.500  0.219
Co  0.000  0.000  0.446
Si  0.000  0.500  0.819

Summary:
E = -23.92 eV per formula unit
ΔE_f (raw) = -0.38 eV per atom
Magnetic moment = 0.0 Bohr magnetons per cell
DOS at the Fermi energy = 6.3 states/eV per cell